(1)
A plane-wave DFT calculation with PBE-GGA was carried out for a relaxed structure of Ta2NiAu.

Geometry as POSCAR:
```
Ta2NiAu
1.0
2.853 0.000 0.000
0.000 4.044 0.000
-0.211 0.000 5.588
Ta Ni Au
2 1 1
Cartesian
-0.015 0.000 1.465
2.657 0.000 4.123
1.321 2.022 2.794
1.426 2.022 0.000
```

Computed properties:
Crystal system ... monoclinic
Energy relative to the elements ... -0.059 eV per atom
Excess energy over the best structure of this formula in the dataset ... 86 meV/atom
DOS(E_F) ... 0.823 states/eV/atom
Space group ... No. 10
Magnetization ... 0.00 μB per formula unit
V ... 64.5 Å³ per cell
E_tot ... -32.999 eV/cell

***

(2)
A plane-wave DFT calculation with PBE-GGA was carried out for a relaxed structure of CdAs3.

Geometry as POSCAR:
```
CdAs3
1.0
6.285 0.000 0.000
-3.142 5.443 0.000
0.000 0.000 4.824
Cd As
2 6
Cartesian
0.000 3.629 1.206
3.142 1.814 3.618
0.000 1.734 3.618
-1.641 4.576 3.618
1.501 0.867 1.206
1.641 4.576 3.618
4.784 0.867 1.206
3.142 3.709 1.206
```

Computed properties:
Crystal system ... hexagonal
Energy relative to the elements ... 0.368 eV per atom
Excess energy over the best structure of this formula in the dataset ... 395 meV/atom
DOS(E_F) ... 0.562 states/eV/atom
Space group ... No. 194
Magnetization ... 0.00 μB per formula unit
V ... 165.0 Å³ per cell
E_tot ... -26.787 eV/cell

***

(3)
A plane-wave DFT calculation with PBE-GGA was carried out for a relaxed structure of Pa5BiSe4.

Geometry as POSCAR:
```
Pa5BiSe4
1.0
-2.023 2.949 10.621
2.023 -2.949 10.621
2.023 2.949 -10.621
Pa Bi Se
5 1 4
Cartesian
0.000 0.000 0.000
0.000 0.000 4.148
0.000 0.000 8.211
0.000 0.000 13.032
0.000 0.000 17.095
0.000 2.949 0.000
2.023 0.000 2.075
2.023 0.000 6.191
0.000 2.949 4.431
0.000 2.949 8.546
```

Computed properties:
Crystal system ... orthorhombic
Raw formation energy ... -925 meV/atom
DOS(E_F) ... 2.087 states/eV/atom
Space group ... No. 71
Magnetization ... 3.23 μB per formula unit
V ... 253.4 Å³ per cell
E_tot ... -74.549 eV/cell

***

(4)
A plane-wave DFT calculation with PBE-GGA was carried out for a relaxed structure of InFe2Ir.

Geometry as POSCAR:
```
InFe2Ir
1.0
3.033 0.000 0.000
0.000 3.033 0.000
0.000 0.000 6.356
In Fe Ir
1 2 1
Cartesian
0.000 0.000 0.000
0.000 0.000 3.353
1.517 1.517 4.623
1.517 1.517 1.855
```

Computed properties:
Crystal system ... tetragonal
Energy relative to the elements ... 0.067 eV per atom
DOS(E_F) ... 0.973 states/eV/atom
Space group ... No. 99
Magnetization ... 5.35 μB per formula unit
V ... 58.5 Å³ per cell
E_tot ... -28.258 eV/cell

***

(5)
A plane-wave DFT calculation with PBE-GGA was carried out for a relaxed structure of YPb2F.

Geometry as POSCAR:
```
YPb2F
1.0
-2.794 2.794 7.940
2.794 -2.794 7.940
2.794 2.794 -7.940
Y Pb F
2 4 2
Cartesian
0.000 0.000 0.000
0.000 2.794 3.970
1.397 -0.696 5.955
2.097 1.397 1.985
1.397 3.490 -1.985
0.696 1.397 9.925
2.794 0.000 3.970
0.000 0.000 7.940
```

Computed properties:
Crystal system ... tetragonal
Raw formation energy ... -505 meV/atom
Excess energy over the best structure of this formula in the dataset ... 97 meV/atom
DOS(E_F) ... 0.257 states/eV/atom
Space group ... No. 122
Magnetization ... 0.00 μB per formula unit
V ... 247.8 Å³ per cell
E_tot ... -35.546 eV/cell

***

(6)
A plane-wave DFT calculation with PBE-GGA was carried out for a relaxed structure of Pr3SnSe6.

Geometry as POSCAR:
```
Pr3SnSe6
1.0
5.794 -7.245 0.000
5.794 7.245 0.000
0.000 0.000 7.232
Pr Sn Se
6 2 12
Cartesian
5.794 5.848 3.616
3.643 1.414 4.278
3.643 -1.414 0.662
7.946 1.414 4.278
7.946 -1.414 0.662
5.794 -5.848 0.000
5.794 2.879 0.906
5.794 -2.879 4.522
3.769 3.898 2.342
1.876 0.454 2.131
1.876 -0.454 5.747
5.794 3.213 5.357
7.819 3.898 2.342
5.794 0.420 2.150
5.794 -0.420 5.766
3.769 -3.898 5.958
5.794 -3.213 1.741
9.713 0.454 2.131
9.713 -0.454 5.747
7.819 -3.898 5.958
```

Computed properties:
Crystal system ... orthorhombic
Raw formation energy ... -1471 meV/atom
DOS(E_F) ... 0.452 states/eV/atom
Space group ... No. 36
Magnetization ... 0.00 μB per formula unit
V ... 607.2 Å³ per cell
E_tot ... -107.913 eV/cell

***

(7)
A plane-wave DFT calculation with PBE-GGA was carried out for a relaxed structure of Ca6PdAu3.

Geometry as POSCAR:
```
Ca6PdAu3
1.0
10.996 0.000 0.000
0.000 4.315 0.000
-4.464 0.000 12.115
Ca Pd Au
12 2 6
Cartesian
-1.440 1.079 4.663
-3.200 1.079 11.005
1.325 3.236 3.961
0.232 3.236 9.625
3.348 3.236 1.315
1.861 1.079 6.912
4.671 3.236 5.203
3.184 1.079 10.800
6.300 1.079 2.490
5.207 1.079 8.154
9.732 3.236 1.110
7.972 3.236 7.452
3.339 1.079 3.592
3.193 3.236 8.523
0.805 1.079 1.946
-0.241 3.236 6.510
0.058 1.079 11.692
6.474 3.236 0.423
6.773 1.079 5.605
5.727 3.236 10.169
```

Computed properties:
Crystal system ... monoclinic
Energy relative to the elements ... -0.632 eV per atom
DOS(E_F) ... 0.562 states/eV/atom
Space group ... No. 11
Magnetization ... 0.00 μB per formula unit
V ... 574.9 Å³ per cell
E_tot ... -66.714 eV/cell

***

(8)
A plane-wave DFT calculation with PBE-GGA was carried out for a relaxed structure of InOsPt.

Geometry as POSCAR:
```
InOsPt
1.0
0.000 2.479 6.916
1.488 0.000 6.916
1.488 2.479 0.000
In Os Pt
1 1 1
Cartesian
0.000 0.000 0.000
1.488 2.479 4.585
1.488 2.479 9.243
```

Computed properties:
Crystal system ... orthorhombic
Energy relative to the elements ... 0.471 eV per atom
Excess energy over the best structure of this formula in the dataset ... 505 meV/atom
DOS(E_F) ... 0.925 states/eV/atom
Space group ... No. 42
Magnetization ... 0.60 μB per formula unit
V ... 51.0 Å³ per cell
E_tot ... -18.597 eV/cell

***

(9)
A plane-wave DFT calculation with PBE-GGA was carried out for a relaxed structure of NaCeDy2Hg4.

Geometry as POSCAR:
```
NaCeDy2Hg4
1.0
2.619 1.512 8.766
-2.619 1.512 8.766
0.000 -3.024 8.766
Na Ce Dy Hg
1 1 2 4
Cartesian
0.000 0.000 0.000
0.000 0.000 13.149
0.000 0.000 6.686
0.000 0.000 19.611
0.000 0.000 3.197
0.000 0.000 9.854
0.000 0.000 16.443
0.000 0.000 23.100
```

Computed properties:
Crystal system ... trigonal
Energy relative to the elements ... -0.358 eV per atom
DOS(E_F) ... 1.544 states/eV/atom
Space group ... No. 166
Magnetization ... 0.98 μB per formula unit
V ... 208.3 Å³ per cell
E_tot ... -20.527 eV/cell

***

(10)
A plane-wave DFT calculation with PBE-GGA was carried out for a relaxed structure of KScBe2.

Geometry as POSCAR:
```
KScBe2
1.0
3.499 0.000 0.000
0.000 3.473 0.000
-0.021 0.000 7.393
K Sc Be
1 1 2
Cartesian
0.000 0.000 0.000
-0.010 0.000 3.697
1.739 1.736 2.619
1.739 1.736 4.774
```

Computed properties:
Crystal system ... monoclinic
Energy relative to the elements ... 0.479 eV per atom
Excess energy over the best structure of this formula in the dataset ... 82 meV/atom
DOS(E_F) ... 0.684 states/eV/atom
Space group ... No. 10
Magnetization ... 0.00 μB per formula unit
V ... 89.8 Å³ per cell
E_tot ... -12.967 eV/cell

***

(11)
A plane-wave DFT calculation with PBE-GGA was carried out for a relaxed structure of SmAl2ZnAu4.

Geometry as POSCAR:
```
SmAl2ZnAu4
1.0
2.218 1.280 8.928
-2.218 1.280 8.928
0.000 -2.561 8.928
Sm Al Zn Au
1 2 1 4
Cartesian
0.000 0.000 0.000
0.000 0.000 6.491
0.000 0.000 20.295
0.000 0.000 13.393
0.000 0.000 3.562
0.000 0.000 10.641
0.000 0.000 16.144
0.000 0.000 23.223
```

Computed properties:
Crystal system ... trigonal
Energy relative to the elements ... -0.514 eV per atom
DOS(E_F) ... 0.366 states/eV/atom
Space group ... No. 166
Magnetization ... 0.00 μB per formula unit
V ... 152.1 Å³ per cell
E_tot ... -30.697 eV/cell

***

(12)
A plane-wave DFT calculation with PBE-GGA was carried out for a relaxed structure of SrTaPt2.

Geometry as POSCAR:
```
SrTaPt2
1.0
5.161 0.000 0.000
0.000 5.161 0.000
0.000 0.000 2.925
Sr Ta Pt
1 1 2
Cartesian
0.000 0.000 0.000
2.580 2.580 0.000
0.000 2.580 1.463
2.580 0.000 1.463
```

Computed properties:
Crystal system ... tetragonal
Energy relative to the elements ... -0.377 eV per atom
Excess energy over the best structure of this formula in the dataset ... 203 meV/atom
DOS(E_F) ... 0.531 states/eV/atom
Space group ... No. 123
Magnetization ... 0.00 μB per formula unit
V ... 77.9 Å³ per cell
E_tot ... -27.124 eV/cell